Record 1
Below is a relaxed Ac4Cd2InAu crystal, with properties calculated at the PBE-GGA level.

Properties
The symmetry is R-3m. As for the formation energy from the elements: -42 kJ per mole of atoms.

Geometry as extended XYZ:
```
8
Lattice="2.858 1.650 9.288 -2.858 1.650 9.288 0.000 -3.300 9.288" Properties=species:S:1:pos:R:3 pbc="T T T"
Ac 0.000 0.000 3.348
Ac 0.000 0.000 10.329
Ac 0.000 0.000 17.533
Ac 0.000 0.000 24.515
Cd 0.000 0.000 6.827
Cd 0.000 0.000 21.036
In 0.000 0.000 13.931
Au 0.000 0.000 0.000
```

=====

Record 2
Below is a relaxed Ac2CdInAu6 crystal, with properties calculated at the PBE-GGA level.

Properties
The symmetry is P1. As for the formation energy from the elements: -46 kJ per mole of atoms.

Geometry as extended XYZ:
```
10
Lattice="5.468 0.000 0.000 -1.460 6.021 0.000 -2.077 -1.483 7.649" Properties=species:S:1:pos:R:3 pbc="T T T"
Ac 0.000 0.000 0.000
Ac -1.064 2.525 3.128
Cd 1.470 4.270 1.558
In 1.149 0.513 5.390
Au -0.874 -0.595 3.527
Au -2.286 1.632 7.247
Au -0.838 3.790 6.081
Au 1.696 0.652 2.708
Au 2.705 1.863 0.429
Au 1.707 3.255 4.704
```

=====

Record 3
Below is a relaxed Ac2CdIn4Au3 crystal, with properties calculated at the PBE-GGA level.

Properties
The symmetry is P-4m2. As for the formation energy from the elements: -51 kJ per mole of atoms.

Geometry as extended XYZ:
```
10
Lattice="4.698 0.000 0.000 0.000 4.698 0.000 0.000 0.000 11.804" Properties=species:S:1:pos:R:3 pbc="T T T"
Ac 0.000 2.349 2.941
Ac 2.349 0.000 8.863
Cd 2.349 2.349 0.000
In 0.000 0.000 5.902
In 0.000 2.349 10.204
In 2.349 0.000 1.600
In 2.349 2.349 5.902
Au 0.000 0.000 0.000
Au 0.000 2.349 7.492
Au 2.349 0.000 4.312
```

=====

Record 4
Below is a relaxed AcCdIn2Au4 crystal, with properties calculated at the PBE-GGA level.

Properties
The symmetry is R-3m. As for the formation energy from the elements: -42 kJ per mole of atoms.

Geometry as extended XYZ:
```
8
Lattice="2.379 1.374 9.500 -2.379 1.374 9.500 0.000 -2.747 9.500" Properties=species:S:1:pos:R:3 pbc="T T T"
Ac 0.000 0.000 0.000
Cd 0.000 0.000 14.250
In 0.000 0.000 6.871
In 0.000 0.000 21.629
Au 0.000 0.000 3.800
Au 0.000 0.000 11.236
Au 0.000 0.000 17.264
Au 0.000 0.000 24.700
```

=====

Record 5
Below is a relaxed Ac2Cd4InAu3 crystal, with properties calculated at the PBE-GGA level.

Properties
The symmetry is P-4m2. As for the formation energy from the elements: -44 kJ per mole of atoms.

Geometry as extended XYZ:
```
10
Lattice="4.512 0.000 0.000 0.000 4.512 0.000 0.000 0.000 12.665" Properties=species:S:1:pos:R:3 pbc="T T T"
Ac 0.000 2.256 3.065
Ac 2.256 0.000 9.600
Cd 0.000 0.000 0.000
Cd 0.000 2.256 8.093
Cd 2.256 0.000 4.572
Cd 2.256 2.256 0.000
In 0.000 0.000 6.332
Au 0.000 2.256 10.845
Au 2.256 0.000 1.820
Au 2.256 2.256 6.332
```

=====

Record 6
Below is a relaxed KAcCdAu crystal, with properties calculated at the PBE-GGA level.

Properties
The symmetry is F-43m. As for the formation energy from the elements: -22 kJ per mole of atoms.

Geometry as extended XYZ:
```
16
Lattice="7.936 0.000 0.000 0.000 7.936 0.000 0.000 0.000 7.936" Properties=species:S:1:pos:R:3 pbc="T T T"
K 0.000 0.000 0.000
K 0.000 3.968 3.968
K 3.968 0.000 3.968
K 3.968 3.968 0.000
Ac 0.000 0.000 3.968
Ac 0.000 3.968 0.000
Ac 3.968 0.000 0.000
Ac 3.968 3.968 3.968
Cd 1.984 1.984 1.984
Cd 1.984 5.952 5.952
Cd 5.952 1.984 5.952
Cd 5.952 5.952 1.984
Au 1.984 1.984 5.952
Au 1.984 5.952 1.984
Au 5.952 1.984 1.984
Au 5.952 5.952 5.952
```

=====

Record 7
Below is a relaxed Li3Ac2CdAu4 crystal, with properties calculated at the PBE-GGA level.

Properties
The symmetry is P-4m2. As for the formation energy from the elements: -58 kJ per mole of atoms.

Geometry as extended XYZ:
```
10
Lattice="4.494 0.000 0.000 0.000 4.494 0.000 0.000 0.000 11.239" Properties=species:S:1:pos:R:3 pbc="T T T"
Li 0.000 0.000 0.000
Li 0.000 2.247 6.839
Li 2.247 0.000 4.400
Ac 0.000 2.247 2.976
Ac 2.247 0.000 8.263
Cd 2.247 2.247 0.000
Au 0.000 0.000 5.619
Au 0.000 2.247 9.420
Au 2.247 0.000 1.819
Au 2.247 2.247 5.619
```

=====

Record 8
Below is a relaxed LiAcCdAu2 crystal, with properties calculated at the PBE-GGA level.

Properties
The symmetry is I-4m2. As for the formation energy from the elements: -61 kJ per mole of atoms.

Geometry as extended XYZ:
```
10
Lattice="4.203 0.000 0.000 0.000 4.203 0.000 0.000 0.000 13.556" Properties=species:S:1:pos:R:3 pbc="T T T"
Li 0.000 0.000 0.000
Li 2.101 2.101 6.778
Ac 0.000 2.101 10.167
Ac 2.101 0.000 3.389
Cd 0.000 0.000 6.778
Cd 2.101 2.101 0.000
Au 0.000 2.101 1.936
Au 0.000 2.101 4.843
Au 2.101 0.000 8.714
Au 2.101 0.000 11.621
```

=====

Record 9
Below is a relaxed Li2AcCdAu crystal, with properties calculated at the PBE-GGA level.

Properties
The symmetry is Imm2. As for the formation energy from the elements: -38 kJ per mole of atoms.

Geometry as extended XYZ:
```
10
Lattice="4.290 0.000 0.000 0.000 4.327 0.000 0.000 0.000 13.016" Properties=species:S:1:pos:R:3 pbc="T T T"
Li 0.000 0.000 0.000
Li 0.000 2.163 1.953
Li 2.145 0.000 8.461
Li 2.145 2.163 6.508
Ac 0.000 2.163 10.042
Ac 2.145 0.000 3.533
Cd 0.000 0.000 6.726
Cd 2.145 2.163 0.218
Au 0.000 2.163 4.641
Au 2.145 0.000 11.149
```

=====

Record 10
Below is a relaxed Li2AcCdAu4 crystal, with properties calculated at the PBE-GGA level.

Properties
The symmetry is R-3m. As for the formation energy from the elements: -54 kJ per mole of atoms.

Geometry as extended XYZ:
```
8
Lattice="2.310 1.334 9.297 -2.310 1.334 9.297 0.000 -2.668 9.297" Properties=species:S:1:pos:R:3 pbc="T T T"
Li 0.000 0.000 6.360
Li 0.000 0.000 21.533
Ac 0.000 0.000 0.000
Cd 0.000 0.000 13.946
Au 0.000 0.000 3.355
Au 0.000 0.000 11.124
Au 0.000 0.000 16.769
Au 0.000 0.000 24.538
```

=====

Record 11
Below is a relaxed Li2AcCdAu2 crystal, with properties calculated at the PBE-GGA level.

Properties
The symmetry is P-3m1. As for the formation energy from the elements: -55 kJ per mole of atoms.

Geometry as extended XYZ:
```
6
Lattice="4.634 0.000 0.000 -2.317 4.014 0.000 0.000 0.000 7.116" Properties=species:S:1:pos:R:3 pbc="T T T"
Li 0.000 2.676 1.061
Li 2.317 1.338 6.055
Ac 0.000 0.000 3.558
Cd 0.000 0.000 0.000
Au 0.000 2.676 5.499
Au 2.317 1.338 1.617
```

=====

Record 12
Below is a relaxed AcLuCdAu crystal, with properties calculated at the PBE-GGA level.

Properties
The symmetry is F-43m. As for the formation energy from the elements: -45 kJ per mole of atoms.

Geometry as extended XYZ:
```
16
Lattice="7.625 0.000 0.000 0.000 7.625 0.000 0.000 0.000 7.625" Properties=species:S:1:pos:R:3 pbc="T T T"
Ac 0.000 0.000 0.000
Ac 0.000 3.812 3.812
Ac 3.812 0.000 3.812
Ac 3.812 3.812 0.000
Lu 0.000 0.000 3.812
Lu 0.000 3.812 0.000
Lu 3.812 0.000 0.000
Lu 3.812 3.812 3.812
Cd 1.906 1.906 1.906
Cd 1.906 5.719 5.719
Cd 5.719 1.906 5.719
Cd 5.719 5.719 1.906
Au 1.906 1.906 5.719
Au 1.906 5.719 1.906
Au 5.719 1.906 1.906
Au 5.719 5.719 5.719
```

=====

Record 13
Below is a relaxed AcMgCd2Au crystal, with properties calculated at the PBE-GGA level.

Properties
The symmetry is Imm2. As for the formation energy from the elements: -43 kJ per mole of atoms.

Geometry as extended XYZ:
```
10
Lattice="4.369 0.000 0.000 0.000 4.492 0.000 0.000 0.000 13.259" Properties=species:S:1:pos:R:3 pbc="T T T"
Ac 0.000 0.000 0.000
Ac 2.185 2.246 6.630
Mg 0.000 2.246 10.175
Mg 2.185 0.000 3.545
Cd 0.000 0.000 8.233
Cd 0.000 2.246 3.522
Cd 2.185 0.000 10.151
Cd 2.185 2.246 1.603
Au 0.000 0.000 5.381
Au 2.185 2.246 12.010
```

=====

Record 14
Below is a relaxed AcMgCd2Au4 crystal, with properties calculated at the PBE-GGA level.

Properties
The symmetry is R-3m. As for the formation energy from the elements: -49 kJ per mole of atoms.

Geometry as extended XYZ:
```
8
Lattice="2.404 1.388 8.948 -2.404 1.388 8.948 0.000 -2.775 8.948" Properties=species:S:1:pos:R:3 pbc="T T T"
Ac 0.000 0.000 0.000
Mg 0.000 0.000 13.422
Cd 0.000 0.000 6.451
Cd 0.000 0.000 20.393
Au 0.000 0.000 3.500
Au 0.000 0.000 10.648
Au 0.000 0.000 16.196
Au 0.000 0.000 23.344
```

=====

Record 15
Below is a relaxed AcMg2CdAu2 crystal, with properties calculated at the PBE-GGA level.

Properties
The symmetry is I4/mmm. As for the formation energy from the elements: -33 kJ per mole of atoms.

Geometry as extended XYZ:
```
12
Lattice="5.318 0.000 0.000 0.000 5.318 0.000 0.000 0.000 11.744" Properties=species:S:1:pos:R:3 pbc="T T T"
Ac 0.000 0.000 0.000
Ac 2.659 2.659 5.872
Mg 0.000 2.659 2.936
Mg 0.000 2.659 8.808
Mg 2.659 0.000 2.936
Mg 2.659 0.000 8.808
Cd 0.000 0.000 5.872
Cd 2.659 2.659 0.000
Au 0.000 0.000 3.139
Au 0.000 0.000 8.605
Au 2.659 2.659 2.733
Au 2.659 2.659 9.011
```

=====

Record 16
Below is a relaxed Ac4Cd2AuN2 crystal, with properties calculated at the PBE-GGA level.

Properties
The symmetry is C2/m. For the formation energy from raw total energies, the calculation gives -0.714 eV/atom.

Geometry as extended XYZ:
```
9
Lattice="8.908 -2.168 0.000 8.908 2.168 0.000 -3.118 0.000 7.355" Properties=species:S:1:pos:R:3 pbc="T T T"
Ac -0.040 0.000 1.991
Ac 3.989 0.000 2.522
Ac 10.709 0.000 4.834
Ac 14.738 0.000 5.364
Cd 6.831 0.000 0.061
Cd 7.866 0.000 7.294
Au 7.349 0.000 3.678
N 1.716 0.000 3.529
N 12.981 0.000 3.826
```

=====

Record 17
Below is a relaxed AcNdCdAu crystal, with properties calculated at the PBE-GGA level.

Properties
The symmetry is P4mm. As for the formation energy from the elements: -51 kJ per mole of atoms. The energy above the most stable polymorph in this dataset is 0.000 eV/atom.

Geometry as extended XYZ:
```
4
Lattice="3.877 0.000 0.000 0.000 3.877 0.000 0.000 0.000 7.816" Properties=species:S:1:pos:R:3 pbc="T T T"
Ac 0.000 0.000 0.000
Nd 0.000 0.000 3.680
Cd 1.939 1.939 5.601
Au 1.939 1.939 2.033
```

=====

Record 18
Below is a relaxed AcNdCdAu crystal, with properties calculated at the PBE-GGA level.

Properties
The symmetry is F-43m. As for the formation energy from the elements: -47 kJ per mole of atoms. The energy above the most stable polymorph in this dataset is 0.047 eV/atom.

Geometry as extended XYZ:
```
16
Lattice="7.786 0.000 0.000 0.000 7.786 0.000 0.000 0.000 7.786" Properties=species:S:1:pos:R:3 pbc="T T T"
Ac 0.000 0.000 0.000
Ac 0.000 3.893 3.893
Ac 3.893 0.000 3.893
Ac 3.893 3.893 0.000
Nd 0.000 0.000 3.893
Nd 0.000 3.893 0.000
Nd 3.893 0.000 0.000
Nd 3.893 3.893 3.893
Cd 1.947 1.947 1.947
Cd 1.947 5.840 5.840
Cd 5.840 1.947 5.840
Cd 5.840 5.840 1.947
Au 1.947 1.947 5.840
Au 1.947 5.840 1.947
Au 5.840 1.947 1.947
Au 5.840 5.840 5.840
```

=====

Record 19
Below is a relaxed AcCdAuO crystal, with properties calculated at the PBE-GGA level.

Properties
The symmetry is P4/nmm. For the formation energy from raw total energies, the calculation gives -1.673 eV/atom.

Geometry as extended XYZ:
```
8
Lattice="4.293 0.000 0.000 0.000 4.293 0.000 0.000 0.000 10.223" Properties=species:S:1:pos:R:3 pbc="T T T"
Ac 1.073 1.073 1.254
Ac 3.219 3.219 8.968
Cd 1.073 3.219 5.111
Cd 3.219 1.073 5.111
Au 1.073 1.073 7.083
Au 3.219 3.219 3.140
O 1.073 3.219 0.000
O 3.219 1.073 0.000
```

=====

Record 20
Below is a relaxed AcCdAuO4 crystal, with properties calculated at the PBE-GGA level.

Properties
The symmetry is Cmcm. For the formation energy from raw total energies, the calculation gives -1.256 eV/atom.

Geometry as extended XYZ:
```
14
Lattice="3.181 -4.756 0.000 3.181 4.756 0.000 0.000 0.000 8.023" Properties=species:S:1:pos:R:3 pbc="T T T"
Ac 0.000 0.000 0.000
Ac 0.000 0.000 4.011
Cd 3.181 1.321 6.017
Cd 3.181 -1.321 2.006
Au 3.181 1.887 2.006
Au 3.181 -1.887 6.017
O 1.514 0.129 2.006
O 1.514 -0.129 6.017
O 3.181 2.215 0.033
O 3.181 2.215 3.979
O 3.181 -2.215 4.044
O 3.181 -2.215 7.990
O 4.848 0.129 2.006
O 4.848 -0.129 6.017
```

=====

Record 21
Below is a relaxed AcCd2Pd2Au crystal, with properties calculated at the PBE-GGA level.

Properties
The symmetry is I4/mmm. As for the formation energy from the elements: -27 kJ per mole of atoms.

Geometry as extended XYZ:
```
12
Lattice="5.313 0.000 0.000 0.000 5.313 0.000 0.000 0.000 11.122" Properties=species:S:1:pos:R:3 pbc="T T T"
Ac 0.000 0.000 0.000
Ac 2.656 2.656 5.561
Cd 0.000 2.656 2.780
Cd 0.000 2.656 8.341
Cd 2.656 0.000 2.780
Cd 2.656 0.000 8.341
Pd 0.000 0.000 2.874
Pd 0.000 0.000 8.248
Pd 2.656 2.656 2.687
Pd 2.656 2.656 8.435
Au 0.000 0.000 5.561
Au 2.656 2.656 0.000
```

=====

Record 22
Below is a relaxed Ac3Cd2Pd6Au crystal, with properties calculated at the PBE-GGA level.

Properties
The symmetry is P-3m1. As for the formation energy from the elements: -62 kJ per mole of atoms.

Geometry as extended XYZ:
```
12
Lattice="5.875 0.000 0.000 -2.938 5.088 0.000 0.000 0.000 9.208" Properties=species:S:1:pos:R:3 pbc="T T T"
Ac 0.000 0.000 0.000
Ac 0.000 3.392 5.640
Ac 2.938 1.696 3.568
Cd 0.000 3.392 0.116
Cd 2.938 1.696 9.092
Pd 0.000 1.764 2.481
Pd -1.410 4.206 2.481
Pd 1.528 0.882 6.727
Pd 1.410 4.206 2.481
Pd 4.347 0.882 6.727
Pd 2.938 3.324 6.727
Au 0.000 0.000 4.604
```

=====

Record 23
Below is a relaxed Ac2Cd2Pd5Au crystal, with properties calculated at the PBE-GGA level.

Properties
The symmetry is P4/mbm. As for the formation energy from the elements: -42 kJ per mole of atoms.

Geometry as extended XYZ:
```
20
Lattice="10.414 0.000 0.000 0.000 10.414 0.000 0.000 0.000 3.969" Properties=species:S:1:pos:R:3 pbc="T T T"
Ac 1.864 3.343 0.000
Ac 3.343 8.550 0.000
Ac 7.070 1.864 0.000
Ac 8.550 7.070 0.000
Cd 1.255 6.462 0.000
Cd 3.952 1.255 0.000
Cd 6.462 9.158 0.000
Cd 9.158 3.952 0.000
Pd 0.000 5.207 1.984
Pd 0.568 8.366 1.984
Pd 2.048 0.568 1.984
Pd 3.159 5.774 1.984
Pd 4.639 3.159 1.984
Pd 5.207 0.000 1.984
Pd 5.774 7.255 1.984
Pd 7.255 4.639 1.984
Pd 8.366 9.846 1.984
Pd 9.846 2.048 1.984
Au 0.000 0.000 0.000
Au 5.207 5.207 0.000
```

=====

Record 24
Below is a relaxed Ac2CdPd3Au12 crystal, with properties calculated at the PBE-GGA level.

Properties
The symmetry is R-3m. As for the formation energy from the elements: -2 kJ per mole of atoms.

Geometry as extended XYZ:
```
18
Lattice="4.406 2.544 6.747 -4.406 2.544 6.747 0.000 -5.087 6.747" Properties=species:S:1:pos:R:3 pbc="T T T"
Ac 0.000 0.000 2.333
Ac 0.000 0.000 17.910
Cd 0.000 0.000 10.121
Pd -2.203 -1.272 6.747
Pd -2.203 1.272 13.495
Pd 0.000 2.544 6.747
Au -2.272 -1.311 9.373
Au 0.000 -2.507 5.962
Au -2.171 1.253 5.962
Au 0.000 -2.623 10.870
Au -2.272 1.311 10.870
Au -2.171 -1.253 14.280
Au 2.171 1.253 5.962
Au 2.272 -1.311 9.373
Au 0.000 2.623 9.373
Au 2.171 -1.253 14.280
Au 0.000 2.507 14.280
Au 2.272 1.311 10.870
```